Compound: Tb8Ho4Er3
Source: Alexandria
Functional: PBE
Structure: optimized geometry

Unit cell a=9.1936 b=9.1936 c=6.7105 alpha=111.39 beta=111.39 gamma=87.41
Last column: nearest neighbours and their distance in Å.
Atoms (fractional coordinates):
Tb: 0.1431 0.8569 0.0000  4 Er 3.59-3.82, 2 Ho 3.59, 7 Tb 3.60-3.64
Tb: 0.2320 0.2320 0.4692  4 Ho 3.18-3.55, 1 Er 3.19, 2 Tb 3.20-3.51
Tb: 0.2331 0.2331 0.9938  3 Er 3.18-3.20, 2 Tb 3.20-3.51, 2 Ho 3.46-3.53
Tb: 0.2483 0.7517 0.5000  3 Er 3.15-3.32, 3 Ho 3.20-3.32
Tb: 0.7517 0.2483 0.5000  3 Er 3.15-3.32, 3 Ho 3.20-3.32
Tb: 0.7669 0.7669 0.0062  3 Er 3.18-3.20, 2 Tb 3.20-3.51, 2 Ho 3.46-3.53
Tb: 0.7680 0.7680 0.5308  4 Ho 3.18-3.55, 1 Er 3.19, 2 Tb 3.20-3.51
Tb: 0.8569 0.1431 0.0000  4 Er 3.59-3.82, 2 Ho 3.59, 7 Tb 3.60-3.64
Ho: 0.0000 0.5000 0.5000  4 Tb 3.18-3.32, 2 Er 3.36
Ho: 0.5000 0.0000 0.5000  4 Tb 3.18-3.32, 2 Er 3.36
Ho: 0.5000 0.5000 0.0000  2 Ho 3.36, 4 Tb 3.53-3.55
Ho: 0.5000 0.5000 0.5000  6 Tb 3.20-3.46, 2 Ho 3.36
Er: 0.0000 0.0000 0.5000  6 Tb 3.15-3.20
Er: 0.0000 0.5000 0.0000  4 Tb 3.18-3.32, 2 Ho 3.36
Er: 0.5000 0.0000 0.0000  4 Tb 3.18-3.32, 2 Ho 3.36

Calculated values
* energy above the most stable polymorph in this dataset: 3.79 eV per formula unit
* total moment: 0.0023 μB per atom